! La3Sn5Te12 | Alexandria via LeMat-Bulk | PBE | optimized geometry; values from VASP
&SYSTEM
  ibrav = 0, nat = 80, ntyp = 3
/
ATOMIC_SPECIES
La 138.91 La.upf
Sn 118.71 Sn.upf
Te 127.60 Te.upf
ATOMIC_POSITIONS crystal
La 0.1250 0.2500 0.3750
La 0.1250 0.3750 0.7500
La 0.2500 0.3750 0.1250
La 0.2500 0.8750 0.6250
La 0.3750 0.1250 0.2500
La 0.3750 0.7500 0.1250
La 0.6250 0.2500 0.8750
La 0.6250 0.8750 0.7500
La 0.7500 0.1250 0.3750
La 0.7500 0.6250 0.8750
La 0.8750 0.6250 0.2500
La 0.8750 0.7500 0.6250
Sn 0.0000 0.0000 0.0000
Sn 0.0000 0.0000 0.5000
Sn 0.0000 0.5000 0.0000
Sn 0.0000 0.5000 0.5000
Sn 0.1250 0.7500 0.8750
Sn 0.1250 0.8750 0.2500
Sn 0.2500 0.1250 0.8750
Sn 0.2500 0.6250 0.3750
Sn 0.3750 0.2500 0.6250
Sn 0.3750 0.6250 0.7500
Sn 0.5000 0.0000 0.0000
Sn 0.5000 0.0000 0.5000
Sn 0.5000 0.5000 0.0000
Sn 0.5000 0.5000 0.5000
Sn 0.6250 0.3750 0.2500
Sn 0.6250 0.7500 0.3750
Sn 0.7500 0.3750 0.6250
Sn 0.7500 0.8750 0.1250
Sn 0.8750 0.1250 0.7500
Sn 0.8750 0.2500 0.1250
Te 0.0476 0.2205 0.1346
Te 0.0476 0.3271 0.9130
Te 0.0859 0.7205 0.6729
Te 0.0859 0.8654 0.4130
Te 0.0870 0.6346 0.4141
Te 0.0870 0.9524 0.6729
Te 0.1346 0.0476 0.2205
Te 0.1346 0.5870 0.9141
Te 0.1729 0.2205 0.5859
Te 0.1729 0.4524 0.5870
Te 0.2205 0.1346 0.0476
Te 0.2205 0.5859 0.1729
Te 0.2795 0.3271 0.9141
Te 0.2795 0.4524 0.3654
Te 0.3271 0.9130 0.0476
Te 0.3271 0.9141 0.2795
Te 0.3654 0.2795 0.4524
Te 0.3654 0.5859 0.9130
Te 0.4130 0.0859 0.8654
Te 0.4130 0.8271 0.5476
Te 0.4141 0.0870 0.6346
Te 0.4141 0.8271 0.7795
Te 0.4524 0.3654 0.2795
Te 0.4524 0.5870 0.1729
Te 0.5476 0.4130 0.8271
Te 0.5476 0.6346 0.7205
Te 0.5859 0.1729 0.2205
Te 0.5859 0.9130 0.3654
Te 0.5870 0.1729 0.4524
Te 0.5870 0.9141 0.1346
Te 0.6346 0.4141 0.0870
Te 0.6346 0.7205 0.5476
Te 0.6729 0.0859 0.7205
Te 0.6729 0.0870 0.9524
Te 0.7205 0.5476 0.6346
Te 0.7205 0.6729 0.0859
Te 0.7795 0.4141 0.8271
Te 0.7795 0.8654 0.9524
Te 0.8271 0.5476 0.4130
Te 0.8271 0.7795 0.4141
Te 0.8654 0.4130 0.0859
Te 0.8654 0.9524 0.7795
Te 0.9130 0.0476 0.3271
Te 0.9130 0.3654 0.5859
Te 0.9141 0.1346 0.5870
Te 0.9141 0.2795 0.3271
Te 0.9524 0.6729 0.0870
Te 0.9524 0.7795 0.8654
CELL_PARAMETERS angstrom
-9.1193 9.1193 9.1193
9.1193 -9.1193 9.1193
9.1193 9.1193 -9.1193
! D(E_F), states/eV/cell: 32.1
! Uncorrected formation energy, eV per atom: -0.661

=====

! BaU4Fe3S12 | Alexandria via LeMat-Bulk | PBE | optimized geometry; values from VASP
&SYSTEM
  ibrav = 0, nat = 20, ntyp = 4
/
ATOMIC_SPECIES
Ba 137.33 Ba.upf
U 238.03 U.upf
Fe 55.84 Fe.upf
S 32.06 S.upf
ATOMIC_POSITIONS crystal
Ba 0.0000 0.0000 0.0000
U 0.0000 0.0000 0.5000
U 0.0000 0.5000 0.0000
U 0.5000 0.0000 0.0000
U 0.5000 0.5000 0.5000
Fe 0.0000 0.5000 0.5000
Fe 0.5000 0.0000 0.5000
Fe 0.5000 0.5000 0.0000
S 0.1528 0.8344 0.3183
S 0.1656 0.3183 0.4839
S 0.1656 0.6817 0.8472
S 0.3183 0.1528 0.8344
S 0.3183 0.4839 0.1656
S 0.4839 0.1656 0.3183
S 0.5161 0.8344 0.6817
S 0.6817 0.5161 0.8344
S 0.6817 0.8472 0.1656
S 0.8344 0.3183 0.1528
S 0.8344 0.6817 0.5161
S 0.8472 0.1656 0.6817
CELL_PARAMETERS angstrom
-4.8909 4.8909 4.8909
4.8909 -4.8909 4.8909
4.8909 4.8909 -4.8909
! D(E_F), states/eV/cell: 37.9
! Uncorrected formation energy, eV per atom: -0.941

=====

! Tc2SbAu2 | Alexandria via LeMat-Bulk | PBE | optimized geometry; values from VASP
&SYSTEM
  ibrav = 0, nat = 10, ntyp = 3
/
ATOMIC_SPECIES
Tc 98.00 Tc.upf
Sb 121.76 Sb.upf
Au 196.97 Au.upf
ATOMIC_POSITIONS crystal
Tc 0.1249 0.3751 0.0000
Tc 0.3751 0.8751 0.0000
Tc 0.6249 0.1249 0.0000
Tc 0.8751 0.6249 0.0000
Sb 0.0000 0.0000 0.0000
Sb 0.5000 0.5000 0.0000
Au 0.1718 0.6718 0.5000
Au 0.3282 0.1718 0.5000
Au 0.6718 0.8282 0.5000
Au 0.8282 0.3282 0.5000
CELL_PARAMETERS angstrom
6.6742 0.0000 0.0000
0.0000 6.6742 0.0000
0.0000 0.0000 4.1645
! D(E_F), states/eV/cell: 10.0
! Uncorrected formation energy, eV per atom: 0.298

=====

! Nd6TlSi2Te3 | Alexandria via LeMat-Bulk | PBE | optimized geometry; values from VASP
&SYSTEM
  ibrav = 0, nat = 12, ntyp = 4
/
ATOMIC_SPECIES
Nd 144.24 Nd.upf
Tl 204.38 Tl.upf
Si 28.09 Si.upf
Te 127.60 Te.upf
ATOMIC_POSITIONS crystal
Nd 0.0084 0.0084 0.2584
Nd 0.3267 0.3267 0.4329
Nd 0.3307 0.3307 0.8948
Nd 0.6693 0.6693 0.1052
Nd 0.6733 0.6733 0.5671
Nd 0.9916 0.9916 0.7416
Tl 0.5000 0.5000 0.0000
Si 0.1673 0.1673 0.3338
Si 0.8327 0.8327 0.6662
Te 0.1642 0.1642 0.8317
Te 0.5000 0.5000 0.5000
Te 0.8358 0.8358 0.1683
CELL_PARAMETERS angstrom
9.7246 -2.1897 0.0000
9.7246 2.1897 0.0000
-2.2759 0.0000 8.7388
! D(E_F), states/eV/cell: 6.3
! Uncorrected formation energy, eV per atom: -1.023

=====

! CaBi3Pd2 | Alexandria via LeMat-Bulk | PBE | optimized geometry; values from VASP
&SYSTEM
  ibrav = 0, nat = 12, ntyp = 3
/
ATOMIC_SPECIES
Ca 40.08 Ca.upf
Bi 208.98 Bi.upf
Pd 106.42 Pd.upf
ATOMIC_POSITIONS crystal
Ca 0.0000 0.0668 0.0000
Ca 0.0000 0.9332 0.5000
Bi 0.0000 0.3325 0.6299
Bi 0.0000 0.6675 0.1299
Bi 0.5000 0.1654 0.3247
Bi 0.5000 0.3868 0.9699
Bi 0.5000 0.6132 0.4699
Bi 0.5000 0.8346 0.8247
Pd 0.0000 0.3494 0.2332
Pd 0.0000 0.6506 0.7332
Pd 0.5000 0.1438 0.7148
Pd 0.5000 0.8562 0.2148
CELL_PARAMETERS angstrom
4.5246 0.0000 0.0000
0.0000 8.8009 0.0000
0.0000 0.0000 7.5372
! D(E_F), states/eV/cell: 6.1
! DFT formation energy, meV/atom: -455

=====

! SrFe2PdAu | Alexandria via LeMat-Bulk | PBE | optimized geometry; values from VASP
&SYSTEM
  ibrav = 0, nat = 5, ntyp = 4
/
ATOMIC_SPECIES
Sr 87.62 Sr.upf
Fe 55.84 Fe.upf
Pd 106.42 Pd.upf
Au 196.97 Au.upf
ATOMIC_POSITIONS crystal
Sr 0.0000 0.0000 0.0000
Fe 0.0000 0.5000 0.5000
Fe 0.5000 0.0000 0.5000
Pd 0.5000 0.5000 0.0000
Au 0.5000 0.5000 0.5000
CELL_PARAMETERS angstrom
4.8168 0.0000 0.0000
0.0000 4.8168 0.0000
0.0000 0.0000 5.2327
! D(E_F), states/eV/cell: 6.9
! DFT formation energy, meV/atom: 593

=====

! CeTi2HgO7 | Alexandria via LeMat-Bulk | PBE | optimized geometry; values from VASP
&SYSTEM
  ibrav = 0, nat = 11, ntyp = 4
/
ATOMIC_SPECIES
Ce 140.12 Ce.upf
Ti 47.87 Ti.upf
Hg 200.59 Hg.upf
O 16.00 O.upf
ATOMIC_POSITIONS crystal
Ce 0.0000 0.0000 0.0000
Ti 0.3978 0.3978 0.0000
Ti 0.6022 0.6022 0.0000
Hg 0.7500 0.2500 0.5000
O 0.0791 0.5791 0.5000
O 0.3097 0.3097 0.0000
O 0.4209 0.9209 0.5000
O 0.5000 0.5000 0.0000
O 0.5830 0.0830 0.5000
O 0.6903 0.6903 0.0000
O 0.9170 0.4170 0.5000
CELL_PARAMETERS angstrom
-1.9041 1.9041 10.3701
1.9041 -1.9041 10.3701
1.9041 1.9041 -10.3701
! Uncorrected formation energy, eV per atom: -2.552

=====

! Zr6Sn3Ge | Alexandria via LeMat-Bulk | PBE | optimized geometry; values from VASP
&SYSTEM
  ibrav = 0, nat = 20, ntyp = 3
/
ATOMIC_SPECIES
Zr 91.22 Zr.upf
Sn 118.71 Sn.upf
Ge 72.64 Ge.upf
ATOMIC_POSITIONS crystal
Zr 0.0161 0.0667 0.2420
Zr 0.0161 0.4333 0.7420
Zr 0.1863 0.6777 0.0522
Zr 0.1863 0.8223 0.5522
Zr 0.3988 0.1539 0.0493
Zr 0.3988 0.3461 0.5493
Zr 0.6012 0.6539 0.4507
Zr 0.6012 0.8461 0.9507
Zr 0.8137 0.1777 0.4478
Zr 0.8137 0.3223 0.9478
Zr 0.9839 0.5667 0.2580
Zr 0.9839 0.9333 0.7580
Sn 0.3264 0.1421 0.7472
Sn 0.3264 0.3579 0.2472
Sn 0.5000 0.0000 0.5000
Sn 0.5000 0.5000 0.0000
Sn 0.6736 0.6421 0.7528
Sn 0.6736 0.8579 0.2528
Ge 0.0000 0.0000 0.0000
Ge 0.0000 0.5000 0.5000
CELL_PARAMETERS angstrom
6.8382 0.0000 0.0000
0.0000 7.6218 0.0000
-6.6727 0.0000 9.1395
! D(E_F), states/eV/cell: 13.3
! DFT formation energy, meV/atom: -338